[1]
Below is CsRb3Cr after structural relaxation, with properties calculated at the GGA-PBE level.

Unit cell a=8.295 b=8.295 c=8.295 alpha=90.00 beta=90.00 gamma=90.00
Sites, in units of the cell vectors:
Cs (0.000, 0.000, 0.000)
Rb (0.000, 0.000, 0.500)
Rb (0.000, 0.500, 0.000)
Rb (0.500, 0.000, 0.000)
Cr (0.500, 0.500, 0.500)

As for the calculated volume: 114.2 Å³/atom. The value obtained for the energy of formation is 0.993 eV/atom. Its density is 1.28 g/cm3.



[2]
Below is Ba2LiEu after structural relaxation, with properties calculated at the GGA-PBE level.

Unit cell a=4.401 b=4.401 c=9.890 alpha=90.00 beta=90.00 gamma=90.00
Sites, in units of the cell vectors:
Ba (0.000, 0.000, 0.215)
Ba (0.000, 0.000, 0.785)
Li (0.500, 0.500, 0.000)
Eu (0.500, 0.500, 0.500)

As for the calculated volume: 47.9 Å³/atom. The value obtained for the energy of formation is 0.054 eV/atom. The offset from the most stable computed form comes out at 0 meV/atom. Its density is 3.76 g/cm3.



[3]
Below is FeRe2Ru after structural relaxation, with properties calculated at the GGA-PBE level.

Unit cell a=9.161 b=9.161 c=9.161 alpha=156.39 beta=156.39 gamma=33.64
Sites, in units of the cell vectors:
Fe (0.000, 0.000, 0.000)
Fe (0.750, 0.250, 0.500)
Re (0.092, 0.625, 0.967)
Re (0.375, 0.342, 0.467)
Re (0.658, 0.125, 0.033)
Re (0.875, 0.908, 0.533)
Ru (0.250, 0.750, 0.500)
Ru (0.500, 0.500, 0.000)

As for the calculated volume: 15.4 Å³/atom. The value obtained for the energy of formation is 0.733 eV/atom. The offset from the most stable computed form comes out at 747 meV/atom. Its density is 14.27 g/cm3.



[4]
Below is YTaBe17 after structural relaxation, with properties calculated at the GGA-PBE level.

Unit cell a=5.679 b=5.679 c=5.679 alpha=82.92 beta=82.92 gamma=82.92
Sites, in units of the cell vectors:
Y (0.000, 0.000, 0.000)
Ta (0.326, 0.326, 0.326)
Be (0.008, 0.008, 0.500)
Be (0.008, 0.500, 0.008)
Be (0.164, 0.657, 0.657)
Be (0.322, 0.322, 0.818)
Be (0.322, 0.818, 0.322)
Be (0.377, 0.658, 0.950)
Be (0.377, 0.950, 0.658)
Be (0.500, 0.008, 0.008)
Be (0.562, 0.562, 0.562)
Be (0.657, 0.164, 0.657)
Be (0.657, 0.657, 0.164)
Be (0.658, 0.377, 0.950)
Be (0.658, 0.950, 0.377)
Be (0.754, 0.754, 0.754)
Be (0.818, 0.322, 0.322)
Be (0.950, 0.377, 0.658)
Be (0.950, 0.658, 0.377)

As for the calculated volume: 9.4 Å³/atom. The value obtained for the energy of formation is -0.158 eV/atom. Its density is 3.92 g/cm3.



[5]
Below is Sr2PmAs3Pt4 after structural relaxation, with properties calculated at the GGA-PBE level.

Unit cell a=4.410 b=4.410 c=11.388 alpha=90.00 beta=90.00 gamma=90.00
Sites, in units of the cell vectors:
Sr (0.000, 0.500, 0.223)
Sr (0.500, 0.000, 0.777)
Pm (0.000, 0.000, 0.500)
As (0.000, 0.500, 0.881)
As (0.500, 0.000, 0.119)
As (0.500, 0.500, 0.500)
Pt (0.000, 0.000, 0.000)
Pt (0.000, 0.500, 0.663)
Pt (0.500, 0.000, 0.337)
Pt (0.500, 0.500, 0.000)

As for the calculated volume: 22.1 Å³/atom. The value obtained for the energy of formation is -0.847 eV/atom. Its density is 9.94 g/cm3.



[6]
Below is CaLaPm2Bi4 after structural relaxation, with properties calculated at the GGA-PBE level.

Unit cell a=8.009 b=6.533 c=8.010 alpha=65.92 beta=48.14 gamma=65.94
Sites, in units of the cell vectors:
Ca (0.000, 0.000, 0.000)
La (0.499, 0.499, 0.501)
Pm (0.249, 0.249, 0.251)
Pm (0.749, 0.749, 0.751)
Bi (0.249, 0.749, 0.251)
Bi (0.500, 0.999, 0.500)
Bi (0.749, 0.249, 0.751)
Bi (0.999, 0.500, 0.001)

As for the calculated volume: 34.9 Å³/atom. The value obtained for the energy of formation is -0.877 eV/atom. Its density is 7.76 g/cm3.



[7]
Below is Pr3Y3Tm8 after structural relaxation, with properties calculated at the GGA-PBE level.

Unit cell a=9.660 b=9.660 c=9.660 alpha=146.18 beta=111.84 gamma=78.30
Sites, in units of the cell vectors:
Pr (0.000, 0.000, 0.000)
Pr (0.186, 0.686, 0.500)
Pr (0.814, 0.314, 0.500)
Y (0.202, 0.500, 0.702)
Y (0.500, 0.500, 0.000)
Y (0.798, 0.500, 0.298)
Tm (0.118, 0.279, 0.839)
Tm (0.241, 0.898, 0.343)
Tm (0.440, 0.279, 0.161)
Tm (0.446, 0.102, 0.343)
Tm (0.554, 0.898, 0.657)
Tm (0.560, 0.721, 0.839)
Tm (0.759, 0.102, 0.657)
Tm (0.882, 0.721, 0.161)

As for the calculated volume: 32.6 Å³/atom. The value obtained for the energy of formation is 0.112 eV/atom. Its density is 7.43 g/cm3.



[8]
Below is PrErTl after structural relaxation, with properties calculated at the GGA-PBE level.

Unit cell a=5.488 b=5.488 c=6.827 alpha=90.00 beta=90.00 gamma=120.00
Sites, in units of the cell vectors:
Pr (0.000, 0.000, 0.000)
Pr (0.000, 0.000, 0.500)
Er (0.333, 0.667, 0.250)
Er (0.667, 0.333, 0.750)
Tl (0.333, 0.667, 0.750)
Tl (0.667, 0.333, 0.250)

As for the calculated volume: 29.7 Å³/atom. The value obtained for the energy of formation is -0.252 eV/atom. The offset from the most stable computed form comes out at 0 meV/atom. Its density is 9.56 g/cm3.